(1)
VASP calculation (PBE-GGA) on a relaxed LiCdTc2 crystal.

Computed properties:
- Calculated formation energy: 0.30 eV/atom

abc: 3.6378 3.6378 9.3005
angles: 90.00 90.00 90.00
Space group I4/mmm (No. 139)
Asymmetric unit:
Li 0.0000 0.0000 0.0000 [2 per cell]
Cd 0.0000 0.0000 0.5000 [2 per cell]
Tc 0.0000 0.5000 0.2500 [4 per cell]

(2)
VASP calculation (PBE-GGA) on a relaxed Tm6Tl3O crystal.

Computed properties:
- E_form (uncorrected): -792 meV per atom

abc: 11.4060 16.8759 5.2759
angles: 90.00 90.00 90.00
Space group Cmc2_1 (No. 36)
Asymmetric unit:
Tm 0.0000 0.0870 0.0000 [4 per cell]
Tm 0.0000 0.2349 0.4773 [4 per cell]
Tm 0.1668 0.4147 0.4985 [8 per cell]
Tm 0.1708 0.2715 0.9915 [8 per cell]
Tl 0.0000 0.4227 0.0004 [4 per cell]
Tl 0.1636 0.0786 0.5029 [8 per cell]
O 0.0000 0.2140 0.0407 [4 per cell]

(3)
VASP calculation (PBE-GGA) on a relaxed MgB2S4 crystal.

Computed properties:
- E_form (uncorrected): -619 meV per atom

abc: 6.9190 6.9190 5.2048
angles: 90.00 90.00 90.00
Space group I4/m (No. 87)
Asymmetric unit:
Mg 0.0000 0.0000 0.0000 [2 per cell]
B 0.0000 0.5000 0.2500 [4 per cell]
S 0.1374 0.3452 0.0000 [8 per cell]

(4)
VASP calculation (PBE-GGA) on a relaxed Ba2AlCdS5 crystal.

Computed properties:
- E_form (uncorrected): -1276 meV per atom

abc: 4.0895 19.6353 12.0117
angles: 90.00 90.00 90.00
Space group Cmc2_1 (No. 36)
Asymmetric unit:
Ba 0.0000 0.1065 0.0000 [4 per cell]
Ba 0.0000 0.1210 0.3815 [4 per cell]
Al 0.0000 0.4414 0.1570 [4 per cell]
Cd 0.0000 0.2294 0.7230 [4 per cell]
S 0.0000 0.0334 0.7464 [4 per cell]
S 0.0000 0.2923 0.3649 [4 per cell]
S 0.0000 0.3281 0.1099 [4 per cell]
S 0.0000 0.3557 0.6896 [4 per cell]
S 0.0000 0.4847 0.9853 [4 per cell]

(5)
VASP calculation (PBE-GGA) on a relaxed MgAl2As crystal.

Computed properties:
- Calculated formation energy: 0.11 eV/atom

abc: 2.9965 2.9965 28.6522
angles: 90.00 90.00 120.00
Space group R-3m (No. 166, hexagonal axes)
Asymmetric unit:
Mg 0.0000 0.0000 0.0000 [3 per cell]
Al 0.0000 0.0000 0.2491 [6 per cell]
As 0.0000 0.0000 0.5000 [3 per cell]

(6)
VASP calculation (PBE-GGA) on a relaxed Ce2HoPa crystal.

Computed properties:
- Calculated formation energy: 0.08 eV/atom

abc: 3.3478 3.3478 9.8598
angles: 90.00 90.00 90.00
Space group P4/mmm (No. 123)
Asymmetric unit:
Ce 0.0000 0.0000 0.2342 [2 per cell]
Ho 0.5000 0.5000 0.5000 [1 per cell]
Pa 0.5000 0.5000 0.0000 [1 per cell]

(7)
VASP calculation (PBE-GGA) on a relaxed TcOsRh crystal.

Computed properties:
- Calculated formation energy: 0.57 eV/atom

abc: 5.8826 5.8826 5.8826
angles: 90.00 90.00 90.00
Space group F-43m (No. 216)
Asymmetric unit:
Tc 0.0000 0.0000 0.0000 [4 per cell]
Os 0.2500 0.2500 0.7500 [4 per cell]
Rh 0.2500 0.2500 0.2500 [4 per cell]

(8)
VASP calculation (PBE-GGA) on a relaxed BaP2PdS8 crystal.

Computed properties:
- E_form (uncorrected): -489 meV per atom

abc: 5.9010 5.9010 8.8879
angles: 90.00 90.00 120.00
Space group P-3 (No. 147)
Asymmetric unit:
Ba 0.0000 0.0000 0.0000 [1 per cell]
P 0.3333 0.6667 0.7287 [2 per cell]
Pd 0.0000 0.0000 0.5000 [1 per cell]
S 0.0058 0.6803 0.3289 [6 per cell]
S 0.3333 0.6667 0.9556 [2 per cell]

(9)
VASP calculation (PBE-GGA) on a relaxed ScPBr2 crystal.

Computed properties:
- E_form (uncorrected): -953 meV per atom

abc: 3.8720 3.7773 7.7153
angles: 90.00 92.10 90.00
Space group Pm (No. 6)
Asymmetric unit:
Sc 0.0000 0.0000 0.0000 [1 per cell]
P 0.4876 0.5000 0.0058 [1 per cell]
Br 0.2651 0.5000 0.2874 [1 per cell]
Br 0.8734 0.0000 0.6843 [1 per cell]

(10)
VASP calculation (PBE-GGA) on a relaxed MgRe crystal.

Computed properties:
- Calculated formation energy: 0.21 eV/atom

abc: 9.8456 3.0972 7.0522
angles: 90.00 110.00 90.00
Space group C2/m (No. 12)
Asymmetric unit:
Mg 0.0000 0.0000 0.0000 [2 per cell]
Mg 0.1749 0.5000 0.8113 [4 per cell]
Re 0.0000 0.0000 0.5000 [2 per cell]
Re 0.1611 0.5000 0.3632 [4 per cell]

(11)
VASP calculation (PBE-GGA) on a relaxed UIrOs crystal.

Computed properties:
- Calculated formation energy: 0.04 eV/atom

abc: 3.4914 3.4914 8.7996
angles: 90.00 90.00 90.00
Space group I4mm (No. 107)
Asymmetric unit:
U 0.0000 0.0000 0.0000 [2 per cell]
Ir 0.0000 0.0000 0.3333 [2 per cell]
Os 0.0000 0.0000 0.6543 [2 per cell]

(12)
VASP calculation (PBE-GGA) on a relaxed Sr2CdGa4Ag3 crystal.

Computed properties:
- Calculated formation energy: -0.31 eV/atom

abc: 4.5070 4.5070 11.2425
angles: 90.00 90.00 90.00
Space group P-4m2 (No. 115)
Asymmetric unit:
Sr 0.0000 0.5000 0.2467 [2 per cell]
Cd 0.0000 0.0000 0.5000 [1 per cell]
Ga 0.0000 0.0000 0.0000 [1 per cell]
Ga 0.0000 0.5000 0.6381 [2 per cell]
Ga 0.5000 0.5000 0.0000 [1 per cell]
Ag 0.0000 0.5000 0.8702 [2 per cell]
Ag 0.5000 0.5000 0.5000 [1 per cell]

(13)
VASP calculation (PBE-GGA) on a relaxed CrCo2CuH crystal.

abc: 3.6499 3.6499 3.5838
angles: 90.00 90.00 90.00
Space group P4/mmm (No. 123)
Asymmetric unit:
Cr 0.0000 0.0000 0.0000 [1 per cell]
Co 0.0000 0.5000 0.5000 [2 per cell]
Cu 0.5000 0.5000 0.0000 [1 per cell]
H 0.5000 0.5000 0.5000 [1 per cell]

(14)
VASP calculation (PBE-GGA) on a relaxed AgRuI3 crystal.

Computed properties:
- E_form (uncorrected): 464 meV per atom

abc: 5.4510 5.4510 5.4510
angles: 90.00 90.00 90.00
Space group Pm-3m (No. 221)
Asymmetric unit:
Ag 0.0000 0.0000 0.0000 [1 per cell]
Ru 0.5000 0.5000 0.5000 [1 per cell]
I 0.0000 0.5000 0.5000 [3 per cell]

(15)
VASP calculation (PBE-GGA) on a relaxed LiSnHg3 crystal.

Computed properties:
- Calculated formation energy: -0.10 eV/atom

abc: 13.4228 5.6827 6.2495
angles: 90.00 90.91 90.00
Space group C2/m (No. 12)
Asymmetric unit:
Li 0.1832 0.0000 0.0055 [4 per cell]
Sn 0.0968 0.5000 0.7284 [4 per cell]
Hg 0.0063 0.0000 0.7606 [4 per cell]
Hg 0.1341 0.5000 0.2002 [4 per cell]
Hg 0.1926 0.0000 0.4682 [4 per cell]

(16)
VASP calculation (PBE-GGA) on a relaxed H6PbCI3N crystal.

abc: 9.2236 12.9117 8.6405
angles: 90.00 90.00 90.00
Space group Pnma (No. 62)
Asymmetric unit:
H 0.0687 0.2500 0.1402 [4 per cell]
H 0.0716 0.7500 0.1716 [4 per cell]
H 0.1276 0.1849 0.9819 [8 per cell]
H 0.1349 0.6804 0.0050 [8 per cell]
Pb 0.0000 0.0000 0.5000 [4 per cell]
C 0.0787 0.7500 0.0451 [4 per cell]
I 0.0087 0.7500 0.5671 [4 per cell]
I 0.1970 0.0251 0.8110 [8 per cell]
N 0.0711 0.2500 0.0197 [4 per cell]

(17)
VASP calculation (PBE-GGA) on a relaxed Cs2AlReI6 crystal.

Computed properties:
- E_form (uncorrected): -505 meV per atom

abc: 11.7995 11.7995 11.7995
angles: 90.00 90.00 90.00
Space group Fm-3m (No. 225)
Asymmetric unit:
Cs 0.2500 0.2500 0.2500 [8 per cell]
Al 0.0000 0.0000 0.0000 [4 per cell]
Re 0.0000 0.0000 0.5000 [4 per cell]
I 0.0000 0.0000 0.2648 [24 per cell]

(18)
VASP calculation (PBE-GGA) on a relaxed HgTe3As crystal.

Computed properties:
- E_form (uncorrected): 925 meV per atom

abc: 5.5451 5.5451 5.5451
angles: 90.00 90.00 90.00
Space group Pm-3m (No. 221)
Asymmetric unit:
Hg 0.0000 0.0000 0.0000 [1 per cell]
Te 0.0000 0.0000 0.5000 [3 per cell]
As 0.5000 0.5000 0.5000 [1 per cell]

Total energy readings, ordered: -5.588, -4.680, -5.113, -4.514, -3.323, -6.406, -9.078, -4.735, -4.725, -6.815, -10.421, -2.799, -6.059, -2.892, -1.463, -4.257, -3.225, -1.950 eV/atom
Total magnetization readings, ordered: 0.000, 0.000, 0.000, 0.115, 0.000, 0.000, 0.000, 0.000, 0.000, 0.000, 0.000, 0.000, 0.430, 0.250, 0.000, 0.000, 0.200, 0.000 μB per atom